# CdTc2WO

A relaxed CdTc2WO crystal (PBE+U, Alexandria via LeMat-Bulk).

a b c (Å): 4.0535 4.0535 4.6276
angles (deg): 90.00 90.00 90.00
Space group P4/mmm (No. 123)
Inequivalent atoms, fractional coordinates:
Cd 0.0000 0.0000 0.0000 x1
Tc 0.0000 0.5000 0.5000 x2
W 0.5000 0.5000 0.0000 x1
O 0.0000 0.0000 0.5000 x1

Calculated values
uncorrected energy: -6.14 eV/atom
calculated density: 11.10 g cm⁻³
M_tot: 0.145 μB/atom